Compound: Tl3FeTe2O9
Source: the Alexandria database
Functional: PBE+U
Structure: optimized geometry

```
data_Tl3FeTe2O9
_chemical_formula_sum 'Tl3 Fe1 Te2 O9'
_cell_length_a 5.7828
_cell_length_b 5.7828
_cell_length_c 7.0837
_cell_angle_alpha 90.00
_cell_angle_beta 90.00
_cell_angle_gamma 120.00
_space_group_name_H-M_alt 'P -3 m 1'
_space_group_IT_number 164
_space_group_name_Hall '-P 3 2"'
loop_
_atom_site_label
_atom_site_type_symbol
_atom_site_fract_x
_atom_site_fract_y
_atom_site_fract_z
Tl1 Tl 0.0000 0.0000 0.0000
Tl2 Tl 0.3333 0.6667 0.6663
Fe1 Fe 0.0000 0.0000 0.5000
Te1 Te 0.3333 0.6667 0.1785
O1 O 0.0000 0.5000 0.0000
O2 O 0.1692 0.3384 0.3311
```

DOS(E_F) in states/eV/f.u.: 8.99
DFT total energy in eV per atom: -5.0589